No. 1
A plane-wave DFT calculation with PBE-GGA was carried out for TaPAu2 after structural relaxation.

Unit cell a=9.180 b=9.180 c=9.180 alpha=18.73 beta=18.73 gamma=18.73
Element x y z (fractional)
Au: 0.753 0.753 0.753
Au: 0.247 0.247 0.247
Ta: 0.000 0.000 0.000
P: 0.500 0.500 0.500

Summary:
Uncorrected energy, eV for the cell shown: -22.86
Formation energy from the elements, eV per formula unit: 0.95
Spin magnetization, μB/f.u.: 0.00

---

No. 2
A plane-wave DFT calculation with PBE-GGA was carried out for Ba2ZnSiAu6 after structural relaxation.

Unit cell a=7.094 b=7.095 c=7.124 alpha=59.89 beta=59.89 gamma=89.97
Element x y z (fractional)
Ba: 0.750 0.250 0.500
Ba: 0.250 0.750 0.500
Au: 0.254 0.746 0.000
Au: 0.746 0.746 0.000
Au: 0.254 0.254 0.491
Au: 0.746 0.746 0.509
Au: 0.254 0.254 0.000
Au: 0.746 0.254 0.000
Si: 0.500 0.500 0.000
Zn: 0.000 0.000 0.000

Summary:
ΔE_f (raw), eV per atom: -0.4609
Uncorrected energy, eV for the cell shown: -34.82
Spin magnetization, μB/f.u.: 0.00

---

No. 3
A plane-wave DFT calculation with PBE-GGA was carried out for TmLuZn after structural relaxation.

Unit cell a=3.500 b=3.500 c=6.510 alpha=105.59 beta=105.59 gamma=90.00
Element x y z (fractional)
Tm: 0.022 0.022 0.044
Lu: 0.310 0.310 0.620
Zn: 0.668 0.668 0.336

Summary:
E above lowest polymorph, meV per atom: 0
Uncorrected energy, eV for the cell shown: -10.90
Formation energy from the elements, eV per formula unit: -0.63
Spin magnetization, μB/f.u.: 0.01

---

No. 4
A plane-wave DFT calculation with PBE-GGA was carried out for CdNiIr2 after structural relaxation.

Unit cell a=2.777 b=2.777 c=7.752 alpha=90.00 beta=90.00 gamma=90.00
Element x y z (fractional)
Ir: 0.000 0.000 0.025
Ir: 0.500 0.500 0.258
Cd: 0.500 0.500 0.738
Ni: 0.000 0.000 0.480

Summary:
Uncorrected energy, eV for the cell shown: -24.11
Formation energy from the elements, eV per formula unit: 0.30
Spin magnetization, μB/f.u.: 0.00